# PBE with a Hubbard U CeFeSbO6, relaxed
# Uncorrected energy ... -0.2563 Ha/atom
# Volume ... 234 Å³ per cell
# Size of the total moment ... 3.0 μB per formula unit
data_CeFeSbO6
_cell_length_a 4.955
_cell_length_b 4.955
_cell_length_c 9.547
_cell_angle_alpha 90.00
_cell_angle_beta 90.00
_cell_angle_gamma 90.00
_space_group_name_H-M_alt 'P 42 n m'
_space_group_IT_number 102
loop_
_space_group_symop_operation_xyz
'x,y,z'
'-y+1/2,x+1/2,z+1/2'
'-x,-y,z'
'y+1/2,-x+1/2,z+1/2'
'-x+1/2,y+1/2,z+1/2'
'y,x,z'
'x+1/2,-y+1/2,z+1/2'
'-y,-x,z'
loop_
_atom_site_label
_atom_site_type_symbol
_atom_site_fract_x
_atom_site_fract_y
_atom_site_fract_z
Ce1 Ce 0.000 0.000 0.000
Fe1 Fe 0.000 0.000 0.667
Sb1 Sb 0.000 0.000 0.336
O1 O 0.174 0.174 0.506
O2 O 0.198 0.198 0.187
O3 O 0.205 0.205 0.826